# 1
A relaxed structure of ErAgPt. Source: Alexandria, functional GGA-PBE.

Cell: 7.0624 5.2648 6.5123 Å, 90.00 96.60 90.00°
Space group P2_1/c (No. 14)
One atom of each set of equivalent atoms:
Er1 0.2223 0.1281 0.4952 (multiplicity 4)
Ag1 0.4179 0.6416 0.6648 (multiplicity 4)
Pt1 0.0860 0.6273 0.3382 (multiplicity 4)

Computed properties:
**Formation enthalpy at 0 K**: -0.72 eV/atom
**Magnetization**: 0.00 Bohr magnetons per cell
**E above lowest polymorph**: 0.089 eV per atom

---

# 2
A relaxed structure of PrDyHo14. Source: Alexandria, functional GGA-PBE.

Cell: 11.4293 7.1054 12.3049 Å, 90.00 90.00 90.00°
Space group Amm2 (No. 38)
One atom of each set of equivalent atoms:
Pr1 0.0000 0.0000 0.0000 (multiplicity 2)
Dy1 0.0000 0.0000 0.5000 (multiplicity 2)
Ho1 0.0000 0.2500 0.2501 (multiplicity 4)
Ho2 0.2503 0.0000 0.6670 (multiplicity 4)
Ho3 0.2522 0.0000 0.1673 (multiplicity 4)
Ho4 0.2524 0.2496 0.4168 (multiplicity 8)
Ho5 0.5000 0.0000 0.3338 (multiplicity 2)
Ho6 0.5000 0.0000 0.8336 (multiplicity 2)
Ho7 0.5000 0.2502 0.0839 (multiplicity 4)

Computed properties:
**Formation enthalpy at 0 K**: 0.01 eV/atom
**Magnetization**: 0.01 Bohr magnetons per cell

---

- Which of these has the lowest magnetization?
  ErAgPt

---

- magnetization of number 1 (ErAgPt)?
  0.00 Bohr magnetons per cell

---

- Among the records above, which one has the lowest formation enthalpy at 0 K?
  ErAgPt